VASP calculation (SCAN) on TlNi2Rh at its PBEsol-relaxed geometry.

abc: 8.2758 8.2758 8.2758
angles: 19.97 19.97 19.97
With the nearest neighbours (Å) after each atom.
Element x y z (fractional)
Tl 0.0000 0.0000 0.0000  3 Ni 2.71, 3 Rh 2.84, 6 Tl 2.87
Ni 0.4935 0.4935 0.4935  3 Ni 2.41, 3 Rh 2.53
Ni 0.7549 0.7549 0.7549  3 Ni 2.41
Rh 0.2387 0.2387 0.2387  3 Ni 2.53

Output
The total energy is -34.1451 eV/atom. As for the spin magnetization: 2.0 μB/cell. As for the crystal system: trigonal. Its energy relative to the elements is 0.47 eV per atom. As for the energy above the lowest structure with this stoichiometry: 0.2210 eV per atom. As for the space group: R3m.